Record 1
Material: Na8As2P
Method: DFT, PBE-GGA
State: relaxed

Cell: 4.848 7.221 8.925 Å, 113.86 105.76 89.97°
Positions (direct):
Na  0.637  0.225  0.909
Na  0.980  0.027  0.595
Na  0.293  0.341  0.223
Na  0.734  0.937  0.105
Na  0.340  0.868  0.317
Na  0.932  0.461  0.502
Na  0.137  0.547  0.910
Na  0.539  0.741  0.714
As  0.797  0.611  0.230
As  0.475  0.290  0.587
P  0.136  0.953  0.909

* space-group type: No. 44
* N(E_F): 9.82 states/eV/f.u.
* offset from the most stable computed form: 0.02 eV per formula unit
* energy of formation from the pure elements: -331 meV/atom

***

Record 2
Material: Sr3LaPt
Method: DFT, PBE-GGA
State: relaxed

Cell: 5.865 5.865 5.865 Å, 90.00 90.00 90.00°
Positions (direct):
Sr  0.000  0.500  0.000
Sr  0.000  0.000  0.500
Sr  0.500  0.000  0.000
Pt  0.500  0.500  0.500
La  0.000  0.000  0.000

* space-group type: No. 221
* N(E_F): 7.38 states/eV/f.u.
* offset from the most stable computed form: 6.88 eV per formula unit
* energy of formation from the pure elements: 1153 meV/atom

***

Record 3
Material: In2Sn2O
Method: DFT, PBE-GGA
State: relaxed

Cell: 6.256 6.256 6.061 Å, 90.00 90.00 90.00°
Positions (direct):
Sn  0.288  0.788  0.500
Sn  0.788  0.712  0.500
Sn  0.712  0.212  0.500
Sn  0.212  0.288  0.500
O  0.000  0.000  0.000
O  0.500  0.500  0.000
In  0.328  0.828  0.000
In  0.828  0.672  0.000
In  0.672  0.172  0.000
In  0.172  0.328  0.000

* space-group type: No. 127
* energy relative to the elements, uncorrected: -0.2115 eV/atom
* N(E_F): 2.54 states/eV/f.u.

***

Record 4
Material: Tc2NiPb
Method: DFT, PBE-GGA
State: relaxed

Cell: 3.145 4.340 4.772 Å, 78.49 90.00 90.00°
Positions (direct):
Ni  0.500  0.000  0.500
Pb  0.000  0.500  0.500
Tc  0.000  0.000  0.000
Tc  0.500  0.500  0.000

* space-group type: No. 10
* N(E_F): 3.65 states/eV/f.u.
* energy of formation from the pure elements: 542 meV/atom

***

Record 5
Material: TlAg12S6
Method: DFT, PBE-GGA
State: relaxed

Cell: 7.497 7.497 7.497 Å, 96.70 96.70 96.70°
Positions (direct):
Tl  0.000  0.000  0.000
Ag  0.811  0.189  0.500
Ag  0.860  0.594  0.594
Ag  0.594  0.594  0.860
Ag  0.406  0.140  0.406
Ag  0.406  0.406  0.140
Ag  0.140  0.406  0.406
Ag  0.189  0.500  0.811
Ag  0.500  0.811  0.189
Ag  0.189  0.811  0.500
Ag  0.811  0.500  0.189
Ag  0.500  0.189  0.811
Ag  0.594  0.860  0.594
S  0.617  0.180  0.180
S  0.180  0.180  0.617
S  0.180  0.617  0.180
S  0.820  0.820  0.383
S  0.383  0.820  0.820
S  0.820  0.383  0.820

* space-group type: No. 166
* energy relative to the elements, uncorrected: -0.0095 eV/atom
* N(E_F): 3.36 states/eV/f.u.

***

Record 6
Material: Pm8Tm5Th
Method: DFT, PBE-GGA
State: relaxed

Cell: 8.512 8.512 8.512 Å, 111.07 111.07 106.32°
Positions (direct):
Pm  0.153  0.426  0.082
Pm  0.929  0.847  0.274
Pm  0.735  0.474  0.395
Pm  0.660  0.265  0.738
Pm  0.526  0.922  0.262
Pm  0.574  0.656  0.726
Pm  0.344  0.071  0.918
Pm  0.078  0.340  0.605
Tm  0.035  0.722  0.909
Tm  0.874  0.965  0.687
Tm  0.812  0.126  0.091
Tm  0.500  0.500  0.000
Tm  0.278  0.188  0.313
Th  0.250  0.750  0.500

* space-group type: No. 82
* N(E_F): 21.23 states/eV/f.u.
* energy of formation from the pure elements: 283 meV/atom

***

Record 7
Material: ScCdRu2
Method: DFT, PBE-GGA
State: relaxed

Cell: 4.080 4.080 9.692 Å, 77.85 77.85 90.00°
Positions (direct):
Sc  0.500  0.500  0.000
Sc  0.250  0.750  0.500
Ru  0.546  0.125  0.250
Ru  0.204  0.625  0.250
Ru  0.375  0.454  0.750
Ru  0.875  0.796  0.750
Cd  0.000  0.000  0.000
Cd  0.750  0.250  0.500

* space-group type: No. 122
* N(E_F): 4.41 states/eV/f.u.
* energy of formation from the pure elements: 408 meV/atom

***

Record 8
Material: YAlSe3
Method: DFT, PBE-GGA
State: relaxed

Cell: 11.450 6.627 3.862 Å, 90.00 99.65 98.41°
Positions (direct):
Y  0.876  0.455  0.275
Y  0.141  0.023  0.407
Al  0.263  0.591  0.967
Al  0.754  0.963  0.715
Se  0.345  0.784  0.509
Se  0.291  0.243  0.982
Se  0.672  0.114  0.174
Se  0.958  0.155  0.816
Se  0.726  0.600  0.701
Se  0.059  0.680  0.866

* space-group type: No. 1
* energy relative to the elements, uncorrected: -1.3548 eV/atom
* N(E_F): 0.00 states/eV/f.u.
* offset from the most stable computed form: 0.08 eV per formula unit

***

Record 9
Material: SrBeCo
Method: DFT, PBE-GGA
State: relaxed

Cell: 3.837 3.837 4.525 Å, 90.00 90.00 120.00°
Positions (direct):
Sr  0.333  0.667  0.667
Co  0.667  0.333  0.167
Be  0.000  0.000  0.167

* space-group type: No. 187
* N(E_F): 1.81 states/eV/f.u.
* offset from the most stable computed form: 0.00 eV per formula unit
* energy of formation from the pure elements: 310 meV/atom

***

Record 10
Material: NiRuSe3
Method: DFT, PBE-GGA
State: relaxed

Cell: 4.838 4.838 4.838 Å, 90.00 90.00 90.00°
Positions (direct):
Ru  0.000  0.000  0.000
Se  0.000  0.500  0.000
Se  0.000  0.000  0.500
Se  0.500  0.000  0.000
Ni  0.500  0.500  0.500

* space-group type: No. 221
* energy relative to the elements, uncorrected: 0.8581 eV/atom
* N(E_F): 10.43 states/eV/f.u.
* offset from the most stable computed form: 0.23 eV per formula unit

***

Record 11
Material: Dy3Tm2Cd6
Method: DFT, PBE-GGA
State: relaxed

Cell: 4.129 4.129 18.541 Å, 96.39 96.39 90.00°
Positions (direct):
Dy  0.000  0.000  0.000
Dy  0.814  0.814  0.628
Dy  0.186  0.186  0.372
Tm  0.366  0.366  0.731
Tm  0.634  0.634  0.269
Cd  0.067  0.567  0.135
Cd  0.567  0.067  0.135
Cd  0.933  0.433  0.865
Cd  0.433  0.933  0.865
Cd  0.725  0.725  0.451
Cd  0.275  0.275  0.549

* space-group type: No. 139
* N(E_F): 11.12 states/eV/f.u.
* energy of formation from the pure elements: 28 meV/atom

***

Record 12
Material: ScTiRh2
Method: DFT, PBE-GGA
State: relaxed

Cell: 5.660 5.660 5.660 Å, 59.80 150.96 128.96°
Positions (direct):
Sc  0.000  0.000  0.000
Ti  0.000  0.500  0.500
Rh  0.000  0.266  0.266
Rh  0.000  0.734  0.734

* space-group type: No. 71
* N(E_F): 2.88 states/eV/f.u.
* energy of formation from the pure elements: -43 meV/atom

***

Record 13
Material: LaPm4Pb5
Method: DFT, PBE-GGA
State: relaxed

Cell: 3.603 3.603 23.102 Å, 90.00 90.00 90.00°
Positions (direct):
La  0.000  0.000  0.000
Pm  0.000  0.000  0.202
Pm  0.000  0.000  0.401
Pm  0.000  0.000  0.599
Pm  0.000  0.000  0.798
Pb  0.500  0.500  0.103
Pb  0.500  0.500  0.301
Pb  0.500  0.500  0.500
Pb  0.500  0.500  0.699
Pb  0.500  0.500  0.897

* space-group type: No. 123
* N(E_F): 8.83 states/eV/f.u.
* energy of formation from the pure elements: -522 meV/atom

***

Record 14
Material: Ga3RhC
Method: DFT, PBE-GGA
State: relaxed

Cell: 4.171 4.171 4.171 Å, 90.00 90.00 90.00°
Positions (direct):
C  0.000  0.000  0.000
Rh  0.500  0.500  0.500
Ga  0.000  0.500  0.000
Ga  0.000  0.000  0.500
Ga  0.500  0.000  0.000

* space-group type: No. 221
* N(E_F): 3.31 states/eV/f.u.
* offset from the most stable computed form: 0.00 eV per formula unit
* energy of formation from the pure elements: 637 meV/atom

***

Record 15
Material: NaMg3Tl6
Method: DFT, PBE-GGA
State: relaxed

Cell: 5.099 9.636 11.180 Å, 102.33 90.00 90.00°
Positions (direct):
Na  0.250  0.944  0.600
Na  0.750  0.056  0.400
Mg  0.250  0.547  0.405
Mg  0.750  0.453  0.595
Mg  0.250  0.356  0.821
Mg  0.750  0.644  0.179
Mg  0.250  0.738  0.983
Mg  0.750  0.262  0.017
Tl  0.250  0.456  0.106
Tl  0.750  0.544  0.894
Tl  0.250  0.152  0.220
Tl  0.750  0.848  0.780
Tl  0.250  0.630  0.690
Tl  0.750  0.370  0.310
Tl  0.250  0.265  0.526
Tl  0.750  0.735  0.474
Tl  0.250  0.827  0.284
Tl  0.750  0.173  0.716
Tl  0.250  0.064  0.912
Tl  0.750  0.936  0.088

* space-group type: No. 11
* N(E_F): 4.60 states/eV/f.u.
* offset from the most stable computed form: 0.00 eV per formula unit
* energy of formation from the pure elements: -41 meV/atom

***

Record 16
Material: VCuIrRh2
Method: DFT, PBE-GGA
State: relaxed

Cell: 4.350 4.431 4.350 Å, 90.00 90.00 90.00°
Positions (direct):
Ir  0.500  0.500  0.500
Rh  0.000  0.000  0.500
Rh  0.500  0.000  0.000
Cu  0.000  0.500  0.000
V  0.000  0.000  0.000

* space-group type: No. 123
* N(E_F): 6.22 states/eV/f.u.
* energy of formation from the pure elements: 1197 meV/atom

***

Record 17
Material: PmDyY
Method: DFT, PBE-GGA
State: relaxed

Cell: 3.539 5.651 5.651 Å, 120.00 90.00 90.00°
Positions (direct):
Y  0.667  0.667  0.333
Pm  0.167  0.000  0.000
Dy  0.166  0.333  0.667

* space-group type: No. 187
* N(E_F): 5.72 states/eV/f.u.
* offset from the most stable computed form: 0.12 eV per formula unit
* energy of formation from the pure elements: 60 meV/atom

***

Record 18
Material: SrTeOs2
Method: DFT, PBE-GGA
State: relaxed

Cell: 4.771 4.771 4.771 Å, 60.00 60.00 60.00°
Positions (direct):
Sr  0.000  0.000  0.000
Te  0.500  0.500  0.500
Os  0.250  0.250  0.250
Os  0.750  0.750  0.750

* space-group type: No. 225
* energy relative to the elements, uncorrected: 0.9921 eV/atom
* N(E_F): 0.57 states/eV/f.u.
* offset from the most stable computed form: 3.55 eV per formula unit

***

Record 19
Material: Pm4Sm2Y3
Method: DFT, PBE-GGA
State: relaxed

Cell: 5.127 6.263 10.850 Å, 73.41 89.98 65.87°
Positions (direct):
Pm  0.666  0.667  0.888
Pm  0.000  0.000  0.333
Pm  0.000  0.000  0.667
Pm  0.334  0.333  0.112
Sm  0.333  0.334  0.777
Sm  0.667  0.666  0.223
Y  0.334  0.333  0.445
Y  0.000  0.000  0.000
Y  0.666  0.667  0.555

* space-group type: No. 12
* N(E_F): 12.07 states/eV/f.u.
* offset from the most stable computed form: 0.00 eV per formula unit
* energy of formation from the pure elements: 14 meV/atom

***

Record 20
Material: PrDyTmZn
Method: DFT, PBE-GGA
State: relaxed

Cell: 3.574 3.574 8.743 Å, 90.00 90.00 90.00°
Positions (direct):
Pr  0.000  0.000  0.074
Dy  0.500  0.500  0.772
Tm  0.500  0.500  0.372
Zn  0.000  0.000  0.566

* space-group type: No. 99
* N(E_F): 4.60 states/eV/f.u.
* offset from the most stable computed form: 0.00 eV per formula unit
* energy of formation from the pure elements: -164 meV/atom